An optimized crystal structure of LiB2C2, computed with GGA-PBE.

```
LiB2C2
1.0
7.5676 0.1191 4.0138
6.0802 4.5631 1.3334
-0.0245 0.0148 5.3987
Li C B
4 8 8
direct
0.2519 0.2486 0.7467
0.9951 0.0038 0.4962
0.7472 0.7533 0.2514
0.7497 0.7501 0.7499
0.2871 0.9590 0.0398
0.7859 0.4601 0.5410
0.7041 0.0298 0.4702
0.2069 0.5329 0.9671
0.8005 0.4730 0.0270
0.2899 0.9621 0.5379
0.2136 0.5411 0.4605
0.7152 0.0395 0.9589
0.4483 0.7839 0.7161
0.0491 0.7102 0.7898
0.4610 0.7966 0.2038
0.9594 0.2944 0.2056
0.9614 0.2962 0.7034
0.5456 0.2110 0.2890
0.0415 0.6997 0.2953
0.5364 0.2047 0.8003
```

## Properties
* formation energy: -0.0224 eV per atom
* size of the total moment: 0.00 Bohr magnetons per cell
* total DFT energy (no corrections): -6.766 eV/atom
* energy relative to the lowest polymorph listed for this composition: 0.047 eV/atom

***

An optimized crystal structure of La6ZnRu2, computed with GGA-PBE.

```
La6ZnRu2
1.0
0.1810 0.0009 6.5028
-4.6690 -8.0397 2.4400
5.9177 -7.2643 2.1453
La Ru Zn
12 4 2
direct
0.1642 0.8251 0.9658
0.7868 0.9418 0.4412
0.7132 0.5588 0.0582
0.3358 0.0342 0.1749
0.1652 0.4646 0.3256
0.8348 0.5354 0.6744
0.8358 0.1749 0.0342
0.3348 0.6744 0.5354
0.6652 0.3256 0.4646
0.6642 0.9658 0.8251
0.2868 0.4412 0.9418
0.2132 0.0582 0.5588
0.4998 0.7565 0.7443
0.0002 0.2557 0.2435
0.9998 0.7443 0.7565
0.5002 0.2435 0.2557
0.2500 0.2518 0.7482
0.7500 0.7482 0.2518
```

## Properties
* formation energy: -0.2194 eV per atom
* size of the total moment: 0.00 Bohr magnetons per cell
* total DFT energy (no corrections): -5.707 eV/atom
* energy relative to the lowest polymorph listed for this composition: 0.008 eV/atom

***

An optimized crystal structure of NaPmLuAl, computed with GGA-PBE.

```
NaPmLuAl
1.0
5.2991 0.0000 0.0000
2.6495 4.5892 0.0000
2.6495 1.5297 4.3267
Na Pm Lu Al
1 1 1 1
direct
0.5000 0.5000 0.5000
0.2500 0.2500 0.2500
0.7500 0.7500 0.7500
0.0000 0.0000 0.0000
```

## Properties
* formation energy: -0.0269 eV per atom
* size of the total moment: 0.00 Bohr magnetons per cell
* total DFT energy (no corrections): -3.610 eV/atom

***

An optimized crystal structure of Tb2TiTl3S6, computed with GGA-PBE.

```
Tb2TiTl3S6
1.0
-0.5539 6.7354 0.4132
-0.5421 -3.7833 5.5889
7.7926 -0.4499 -0.9320
Tl Tb S Ti
3 2 6 1
direct
0.8280 0.1720 0.5000
0.1720 0.8280 0.5000
0.5000 0.5000 0.5000
0.6655 0.3345 0.0000
0.3345 0.6655 0.0000
0.9364 0.6270 0.8088
0.3730 0.0636 0.1912
0.6270 0.9364 0.8088
0.0636 0.3730 0.1912
0.2450 0.2450 0.8003
0.7550 0.7550 0.1997
0.0000 0.0000 0.0000
```

## Properties
* size of the total moment: 1.01 Bohr magnetons per cell
* total DFT energy (no corrections): -5.359 eV/atom
* formation energy without anion corrections: -1.27 eV/atom